Record 1
This record from Alexandria via LeMat-Bulk describes an optimized crystal structure of Tb2Ga4Ir3Rh. The functional is GGA-PBE.

Size of the total moment = 0.0 Bohr magnetons per cell
Symmetry = P-4m2
D(E_F) = 5.30 states/eV/f.u.
Calculated formation energy = -0.742 eV per atom

Cell: 4.2321 4.2321 10.2545 Å, 90.00 90.00 90.00°
Element x y z (fractional)
Tb 0.0000 0.5000 0.2376
Tb 0.5000 0.0000 0.7624
Ga 0.0000 0.0000 0.5000
Ga 0.0000 0.5000 0.8736
Ga 0.5000 0.0000 0.1264
Ga 0.5000 0.5000 0.5000
Ir 0.0000 0.0000 0.0000
Ir 0.0000 0.5000 0.6347
Ir 0.5000 0.0000 0.3653
Rh 0.5000 0.5000 0.0000

=====

Record 2
This record from Alexandria via LeMat-Bulk describes an optimized crystal structure of TbGa4IrRh2. The functional is GGA-PBE.

Size of the total moment = 0.0 Bohr magnetons per cell
Symmetry = R-3m
D(E_F) = 2.06 states/eV/f.u.
Calculated formation energy = -0.644 eV per atom

Cell: 8.9469 8.9469 8.9469 Å, 27.42 27.42 27.42°
Element x y z (fractional)
Tb 0.0000 0.0000 0.0000
Ga 0.1312 0.1312 0.1312
Ga 0.3984 0.3984 0.3984
Ga 0.6016 0.6016 0.6016
Ga 0.8688 0.8688 0.8688
Ir 0.5000 0.5000 0.5000
Rh 0.2366 0.2366 0.2366
Rh 0.7634 0.7634 0.7634

=====

Record 3
This record from Alexandria via LeMat-Bulk describes an optimized crystal structure of TbGa3IrRh. The functional is GGA-PBE.

Size of the total moment = 0.0 Bohr magnetons per cell
Symmetry = Cmcm
D(E_F) = 2.83 states/eV/f.u.
Calculated formation energy = -0.512 eV per atom

Cell: 6.6830 6.6830 5.5126 Å, 90.00 90.00 106.79°
Element x y z (fractional)
Tb 0.2015 0.7985 0.7500
Tb 0.7985 0.2015 0.2500
Ga 0.2417 0.2417 0.0000
Ga 0.2417 0.2417 0.5000
Ga 0.3201 0.6799 0.2500
Ga 0.6799 0.3201 0.7500
Ga 0.7583 0.7583 0.0000
Ga 0.7583 0.7583 0.5000
Ir 0.0903 0.9097 0.2500
Ir 0.9097 0.0903 0.7500
Rh 0.4497 0.5503 0.7500
Rh 0.5503 0.4497 0.2500

=====

Record 4
This record from Alexandria via LeMat-Bulk describes an optimized crystal structure of TbGa4Ir2Rh. The functional is GGA-PBE.

Size of the total moment = 0.0 Bohr magnetons per cell
Symmetry = R-3m
D(E_F) = 2.78 states/eV/f.u.
Calculated formation energy = -0.620 eV per atom

Cell: 8.8763 8.8763 8.8763 Å, 27.73 27.73 27.73°
Element x y z (fractional)
Tb 0.0000 0.0000 0.0000
Ga 0.1312 0.1312 0.1312
Ga 0.3983 0.3983 0.3983
Ga 0.6017 0.6017 0.6017
Ga 0.8688 0.8688 0.8688
Ir 0.2373 0.2373 0.2373
Ir 0.7627 0.7627 0.7627
Rh 0.5000 0.5000 0.5000

=====

> Among the records above, which one has the lowest calculated formation energy?

Tb2Ga4Ir3Rh

=====

> Which of these has the highest calculated formation energy?

TbGa3IrRh

=====

Repeat the second record exactly.
This record from Alexandria via LeMat-Bulk describes an optimized crystal structure of TbGa4IrRh2. The functional is GGA-PBE.

Size of the total moment = 0.0 Bohr magnetons per cell
Symmetry = R-3m
D(E_F) = 2.06 states/eV/f.u.
Calculated formation energy = -0.644 eV per atom

Cell: 8.9469 8.9469 8.9469 Å, 27.42 27.42 27.42°
Element x y z (fractional)
Tb 0.0000 0.0000 0.0000
Ga 0.1312 0.1312 0.1312
Ga 0.3984 0.3984 0.3984
Ga 0.6016 0.6016 0.6016
Ga 0.8688 0.8688 0.8688
Ir 0.5000 0.5000 0.5000
Rh 0.2366 0.2366 0.2366
Rh 0.7634 0.7634 0.7634